KPmVO4 | GGA+U | relaxed

```
KPmVO4
1.0
6.072 0.000 0.000
0.000 5.996 0.000
-2.113 0.000 7.083
K Pm V O
2 2 2 8
direct
0.209 0.250 0.432
0.791 0.750 0.568
0.314 0.250 0.954
0.686 0.750 0.046
0.219 0.750 0.160
0.781 0.250 0.840
0.036 0.750 0.929
0.037 0.750 0.312
0.444 0.525 0.179
0.444 0.975 0.179
0.556 0.025 0.821
0.556 0.475 0.821
0.963 0.250 0.688
0.964 0.250 0.071
```

Results
DFT total energy: -100.04 eV for the cell shown
M_tot: 1.00 μB per formula unit